# 1
## MgCoAs (PBE)

Data for a relaxed MgCoAs crystal. Values from VASP.

Properties
**Total DFT energy (no corrections)**: -4.72 eV per atom
**Volume**: 15.81 A^3/atom

```
&SYSTEM
  ibrav = 0, nat = 6, ntyp = 3
/
ATOMIC_SPECIES
As 74.92 As.upf
Co 58.93 Co.upf
Mg 24.30 Mg.upf
ATOMIC_POSITIONS crystal
As 0.008 0.899 0.678
As 0.873 0.395 0.862
Co 0.073 0.669 0.326
Co 0.148 0.283 0.556
Mg 0.495 0.616 0.062
Mg 0.486 0.087 0.324
CELL_PARAMETERS angstrom
4.760 0.003 0.015
-2.250 6.208 0.000
-1.292 0.515 3.205
```



# 2
## MgCo5As3 (PBE)

Data for a relaxed MgCo5As3 crystal. Values from VASP.

Properties
**Total DFT energy (no corrections)**: -5.85 eV per atom
**Volume**: 14.33 A^3/atom

```
&SYSTEM
  ibrav = 0, nat = 18, ntyp = 3
/
ATOMIC_SPECIES
Mg 24.30 Mg.upf
Co 58.93 Co.upf
As 74.92 As.upf
ATOMIC_POSITIONS crystal
Mg 0.092 0.183 0.250
Mg 0.908 0.817 0.750
Co 0.195 0.390 0.565
Co 0.000 0.000 0.000
Co 0.551 0.102 0.856
Co 0.195 0.390 0.935
Co 0.805 0.610 0.065
Co 0.449 0.898 0.356
Co 0.000 0.000 0.500
Co 0.551 0.102 0.644
Co 0.805 0.610 0.435
Co 0.449 0.898 0.144
As 0.133 0.267 0.750
As 0.867 0.733 0.250
As 0.621 0.242 0.453
As 0.379 0.758 0.547
As 0.379 0.758 0.953
As 0.621 0.242 0.047
CELL_PARAMETERS angstrom
3.584 0.000 0.000
-1.792 6.129 0.000
0.000 0.000 11.742
```



# 3
## Mg2CoAs (PBE)

Data for a relaxed Mg2CoAs crystal. Values from VASP.

Properties
**Total DFT energy (no corrections)**: -3.89 eV per atom
**Volume**: 17.51 A^3/atom

```
&SYSTEM
  ibrav = 0, nat = 4, ntyp = 3
/
ATOMIC_SPECIES
Co 58.93 Co.upf
Mg 24.30 Mg.upf
As 74.92 As.upf
ATOMIC_POSITIONS crystal
Co 0.270 0.770 0.500
Mg 0.046 0.046 0.000
Mg 0.747 0.247 0.500
As 0.437 0.437 0.000
CELL_PARAMETERS angstrom
-1.058 -5.606 1.499
1.334 -4.779 -3.189
1.678 4.926 2.775
```



# 4
## MgCoAs (PBE)

Data for a relaxed MgCoAs crystal. Values from VASP.

Properties
**Total DFT energy (no corrections)**: -4.61 eV per atom
**Volume**: 15.43 A^3/atom

```
&SYSTEM
  ibrav = 0, nat = 3, ntyp = 3
/
ATOMIC_SPECIES
Co 58.93 Co.upf
As 74.92 As.upf
Mg 24.30 Mg.upf
ATOMIC_POSITIONS crystal
Co 0.359 0.359 0.641
As 0.966 0.966 0.034
Mg 0.675 0.675 0.325
CELL_PARAMETERS angstrom
5.380 0.000 0.000
4.506 2.939 0.001
0.874 0.259 2.927
```